HfNiAuI2 | meta-GGA SCAN | PBEsol geometry

Cell: 5.5050 5.5050 5.2002 Å, 90.00 90.00 90.00°
Closest atoms and distances in Å follow each position.
Space group P4/mmm (No. 123)
One atom of each set of equivalent atoms:
Hf: 0.0000 0.0000 0.0000 [1 per cell]  2 Au 2.60, 4 I 2.75
Ni: 0.5000 0.5000 0.5000 [1 per cell]  8 I 3.79, 4 Au 3.89
Au: 0.0000 0.0000 0.5000 [1 per cell]  2 Hf 2.60
I: 0.0000 0.5000 0.0000 [2 per cell]  2 Hf 2.75

Spin magnetization ... 2.2 μB per cell
Total energy ... -218.51 eV/cell
V ... 31.5 Å³/atom



HfIn3Au | meta-GGA SCAN | PBEsol geometry

Cell: 5.4278 5.4278 5.4278 Å, 90.00 90.00 90.00°
Closest atoms and distances in Å follow each position.
Space group Pm-3m (No. 221)
One atom of each set of equivalent atoms:
Hf: 0.0000 0.0000 0.0000 [1 per cell]  6 In 2.71
In: 0.0000 0.0000 0.5000 [3 per cell]  2 Hf 2.71
Au: 0.5000 0.5000 0.5000 [1 per cell]  12 In 3.84

Spin magnetization ... 0.0 μB per cell
Energy of formation ... 0.871 eV/atom
Total energy ... -227.63 eV/cell
V ... 32.0 Å³/atom